No. 1
VASP calculation (PBE) on crystalline KSnSN2 at its relaxed geometry.

Unit cell a=4.7655 b=4.7655 c=5.9020 alpha=90.00 beta=90.00 gamma=90.00
With the nearest neighbours (Å) after each atom.
Space group P4/mmm (No. 123)
Unique sites:
K1 0.0000 0.0000 0.0000 (multiplicity 1)  4 N 2.38
Sn1 0.5000 0.5000 0.5000 (multiplicity 1)  4 S 3.37
S1 0.0000 0.0000 0.5000 (multiplicity 1)  2 K 2.95
N1 0.0000 0.5000 0.0000 (multiplicity 2)  2 K 2.38

Excess energy over the best structure of this formula in the dataset   5.83 eV per formula unit
Formation energy from raw total energies   1900 meV per atom
N(E_F)   1.2 states/eV per cell



No. 2
VASP calculation (PBE) on crystalline KSnSN2 at its relaxed geometry.

Unit cell a=4.3809 b=4.3809 c=5.1820 alpha=90.00 beta=90.00 gamma=90.00
With the nearest neighbours (Å) after each atom.
Space group P4/mmm (No. 123)
Unique sites:
K1 0.0000 0.0000 0.0000 (multiplicity 1)  4 S 3.10, 8 N 3.39
Sn1 0.5000 0.5000 0.5000 (multiplicity 1)  4 N 2.19
S1 0.5000 0.5000 0.0000 (multiplicity 1)  2 Sn 2.59
N1 0.0000 0.5000 0.5000 (multiplicity 2)  2 Sn 2.19

Excess energy over the best structure of this formula in the dataset   0.00 eV per formula unit
Formation energy from raw total energies   733 meV per atom
N(E_F)   0.9 states/eV per cell